# K2NbVP2O10

A relaxed structure of K2NbVP2O10 (GGA-PBEsol, Alexandria via LeMat-Bulk).

The theoretical density is 3.3 g/cm3. The calculation puts the density of states at the Fermi level at 26.798 states/eV/cell. As for the final energy: -7.820 eV per atom. The value obtained for the energy relative to the elements, uncorrected is -2.395 eV per atom. Its volume is 14.1 Å³ per atom. The value obtained for the total moment is 8.00 Bohr magnetons per cell.

Geometry as extended XYZ:
```
64
Lattice="12.879 0.000 0.000 0.000 6.497 0.000 0.000 0.000 10.789" Properties=species:S:1:pos:R:3 pbc="T T T"
K 1.380 1.323 0.000
K 1.667 5.053 8.027
K 4.773 1.804 2.633
K 5.059 4.572 5.395
K 7.820 1.926 0.000
K 8.107 4.693 8.027
K 11.213 1.444 2.633
K 11.499 5.174 5.395
Nb 1.669 3.200 4.853
Nb 4.771 6.449 10.247
Nb 8.108 0.049 4.853
Nb 11.211 3.297 10.247
V 3.179 4.884 2.159
V 3.260 1.635 7.554
V 9.619 4.862 2.159
V 9.700 1.614 7.554
P 0.015 2.189 7.581
P 2.360 6.480 4.882
P 4.079 3.231 10.276
P 6.425 5.438 2.186
P 6.455 1.059 7.581
P 8.800 3.266 4.882
P 10.519 0.018 10.276
P 12.865 4.308 2.186
O 0.088 3.418 3.465
O 0.165 3.164 6.377
O 1.226 5.200 2.003
O 1.263 1.288 7.741
O 1.426 1.193 4.596
O 1.428 5.262 5.175
O 2.897 3.573 3.502
O 2.917 2.928 6.224
O 3.171 2.979 9.060
O 3.190 3.455 0.724
O 3.250 0.206 6.119
O 3.268 6.227 3.665
O 3.523 6.177 0.829
O 3.543 0.324 8.896
O 5.012 2.014 10.569
O 5.014 4.442 9.991
O 5.177 4.537 2.347
O 5.214 1.951 7.398
O 6.275 6.413 0.982
O 6.352 0.170 8.859
O 6.528 6.328 3.465
O 6.605 0.085 6.377
O 7.666 4.547 2.003
O 7.702 1.961 7.741
O 7.866 2.055 4.596
O 7.868 4.484 5.175
O 9.337 6.174 3.502
O 9.356 0.321 6.224
O 9.611 0.270 9.060
O 9.629 6.291 0.724
O 9.690 3.043 6.119
O 9.708 3.519 3.665
O 9.963 3.570 0.829
O 9.983 2.925 8.896
O 11.451 1.235 10.569
O 11.454 5.304 9.991
O 11.617 5.209 2.347
O 11.654 1.298 7.398
O 12.715 3.334 0.982
O 12.791 3.079 8.859
```